Compound: AlTcH6W
Source: OQMD
Functional: PBE
Structure: optimized geometry

abc: 4.529 4.529 4.529
angles: 60.00 60.00 60.00
Element x y z (fractional)
Al: 0.000 0.000 0.000
Tc: 0.500 0.500 0.500
H: 0.532 0.532 0.968
H: 0.532 0.968 0.532
H: 0.532 0.968 0.968
H: 0.968 0.532 0.532
H: 0.968 0.532 0.968
H: 0.968 0.968 0.532
W: 0.250 0.250 0.250

Properties
Space group: F-43m
Density in g/cm³: 8.0


Compound: Th8Al4H11
Source: OQMD
Functional: PBE
Structure: optimized geometry

abc: 7.656 7.656 18.946
angles: 90.00 90.00 90.00
Element x y z (fractional)
Th: 0.161 0.161 0.084
Th: 0.161 0.839 0.916
Th: 0.162 0.162 0.747
Th: 0.162 0.838 0.253
Th: 0.166 0.166 0.417
Th: 0.166 0.834 0.583
Th: 0.332 0.332 0.917
Th: 0.332 0.668 0.083
Th: 0.337 0.337 0.249
Th: 0.337 0.663 0.751
Th: 0.339 0.339 0.584
Th: 0.339 0.661 0.416
Th: 0.661 0.339 0.416
Th: 0.661 0.661 0.584
Th: 0.663 0.337 0.751
Th: 0.663 0.663 0.249
Th: 0.668 0.332 0.083
Th: 0.668 0.668 0.917
Th: 0.834 0.166 0.583
Th: 0.834 0.834 0.417
Th: 0.838 0.162 0.253
Th: 0.838 0.838 0.747
Th: 0.839 0.161 0.916
Th: 0.839 0.839 0.084
Al: 0.000 0.500 0.000
Al: 0.000 0.500 0.168
Al: 0.000 0.500 0.333
Al: 0.000 0.500 0.500
Al: 0.000 0.500 0.667
Al: 0.000 0.500 0.832
Al: 0.500 0.000 0.000
Al: 0.500 0.000 0.168
Al: 0.500 0.000 0.333
Al: 0.500 0.000 0.500
Al: 0.500 0.000 0.667
Al: 0.500 0.000 0.832
H: 0.128 0.128 0.622
H: 0.128 0.872 0.378
H: 0.129 0.129 0.209
H: 0.129 0.129 0.966
H: 0.129 0.871 0.034
H: 0.129 0.871 0.791
H: 0.133 0.133 0.865
H: 0.133 0.867 0.135
H: 0.369 0.369 0.367
H: 0.369 0.631 0.633
H: 0.371 0.371 0.466
H: 0.371 0.371 0.708
H: 0.371 0.629 0.292
H: 0.371 0.629 0.534
H: 0.373 0.373 0.123
H: 0.373 0.627 0.877
H: 0.500 0.500 0.000
H: 0.627 0.373 0.877
H: 0.627 0.627 0.123
H: 0.629 0.371 0.292
H: 0.629 0.371 0.534
H: 0.629 0.629 0.466
H: 0.629 0.629 0.708
H: 0.631 0.369 0.633
H: 0.631 0.631 0.367
H: 0.867 0.133 0.135
H: 0.867 0.867 0.865
H: 0.871 0.129 0.034
H: 0.871 0.129 0.791
H: 0.871 0.871 0.209
H: 0.871 0.871 0.966
H: 0.872 0.128 0.378
H: 0.872 0.872 0.622

Properties
Space group: P-42m
Density in g/cm³: 8.9


Compound: Hf6Al7
Source: OQMD
Functional: PBE
Structure: optimized geometry

abc: 10.199 10.199 10.199
angles: 30.23 30.23 30.23
Element x y z (fractional)
Hf: 0.046 0.046 0.046
Hf: 0.149 0.149 0.149
Hf: 0.334 0.334 0.334
Hf: 0.666 0.666 0.666
Hf: 0.851 0.851 0.851
Hf: 0.954 0.954 0.954
Al: 0.086 0.593 0.593
Al: 0.407 0.407 0.914
Al: 0.407 0.914 0.407
Al: 0.500 0.500 0.500
Al: 0.593 0.086 0.593
Al: 0.593 0.593 0.086
Al: 0.914 0.407 0.407

Properties
Space group: R-3m
Density in g/cm³: 8.8


Compound: Hf3Al2
Source: OQMD
Functional: PBE
Structure: optimized geometry

abc: 7.568 7.568 6.884
angles: 90.00 90.00 90.00
Element x y z (fractional)
Hf: 0.000 0.500 0.250
Hf: 0.000 0.500 0.750
Hf: 0.155 0.155 0.000
Hf: 0.203 0.203 0.500
Hf: 0.297 0.703 0.000
Hf: 0.345 0.655 0.500
Hf: 0.500 0.000 0.250
Hf: 0.500 0.000 0.750
Hf: 0.655 0.345 0.500
Hf: 0.703 0.297 0.000
Hf: 0.797 0.797 0.500
Hf: 0.845 0.845 0.000
Al: 0.121 0.879 0.290
Al: 0.121 0.879 0.710
Al: 0.379 0.379 0.210
Al: 0.379 0.379 0.790
Al: 0.621 0.621 0.210
Al: 0.621 0.621 0.790
Al: 0.879 0.121 0.290
Al: 0.879 0.121 0.710

Properties
Space group: P4_2/mnm
Density in g/cm³: 9.9


Compound: HfAl
Source: OQMD
Functional: PBE
Structure: optimized geometry

abc: 3.057 3.057 4.846
angles: 90.00 90.00 120.00
Element x y z (fractional)
Hf: 0.000 0.000 0.000
Al: 0.333 0.667 0.500

Properties
Space group: P-6m2
Density in g/cm³: 8.7


Compound: Hf3Al2
Source: OQMD
Functional: PBE
Structure: optimized geometry

abc: 7.784 7.784 7.784
angles: 44.02 44.02 44.02
Element x y z (fractional)
Hf: 0.248 0.750 0.252
Hf: 0.250 0.748 0.752
Hf: 0.252 0.248 0.750
Hf: 0.748 0.752 0.250
Hf: 0.750 0.252 0.248
Hf: 0.752 0.250 0.748
Al: 0.192 0.192 0.192
Al: 0.308 0.308 0.308
Al: 0.692 0.692 0.692
Al: 0.808 0.808 0.808

Properties
Space group: R-3c
Density in g/cm³: 9.5


Compound: HfAl
Source: OQMD
Functional: PBE
Structure: optimized geometry

abc: 4.817 4.817 5.421
angles: 90.00 90.00 120.00
Element x y z (fractional)
Hf: 0.333 0.667 0.250
Hf: 0.667 0.333 0.750
Al: 0.333 0.667 0.750
Al: 0.667 0.333 0.250

Properties
Space group: P6_3/mmc
Density in g/cm³: 6.3


Compound: HfAl
Source: OQMD
Functional: PBE
Structure: optimized geometry

abc: 4.428 4.428 4.428
angles: 60.00 60.00 60.00
Element x y z (fractional)
Hf: 0.000 0.000 0.000
Al: 0.250 0.250 0.250

Properties
Space group: F-43m
Density in g/cm³: 5.6


Listing electronic total energy for the structures above in their given order: -44.334, -121.571, -91.517, -39.012, -14.071, -37.174, -12.032, -10.735 eV per formula unit.
Listing calculated volume for the structures above in their given order: 65.7, 1110.4, 238.2, 394.3, 39.2, 206.8, 108.9, 61.4 Å³ per cell.